No. 1
## MnAlSb2 (PBE)

Data for an optimized crystal structure of MnAlSb2.

## Properties
spin magnetization = 1.004 μB per atom
uncorrected energy = -5.019 eV/atom
crystal system = orthorhombic

a = 5.262 Å, b = 5.262 Å, c = 3.118 Å
α = 90.00°, β = 90.00°, γ = 90.13°
Element x y z (fractional)
1 Mn 0.000 0.000 0.000
2 Al 0.500 0.500 0.000
3 Sb 0.000 0.500 0.500
4 Sb 0.500 0.000 0.500

No. 2
## MnAlSi2Sb (PBE)

Data for an optimized crystal structure of MnAlSi2Sb.

## Properties
spin magnetization = 0.010 μB per atom
uncorrected energy = -3.995 eV/atom
crystal system = tetragonal

a = 5.172 Å, b = 5.172 Å, c = 4.753 Å
α = 90.00°, β = 90.00°, γ = 90.00°
Element x y z (fractional)
1 Mn 0.000 0.000 0.000
2 Al 0.500 0.500 0.000
3 Si 0.000 0.500 0.500
4 Si 0.500 0.000 0.500
5 Sb 0.000 0.000 0.500

No. 3
## MnAlSb2Te (PBE)

Data for an optimized crystal structure of MnAlSb2Te.

## Properties
spin magnetization = 0.051 μB per atom
uncorrected energy = -3.625 eV/atom
crystal system = tetragonal

a = 5.192 Å, b = 5.192 Å, c = 5.294 Å
α = 90.00°, β = 90.00°, γ = 90.00°
Element x y z (fractional)
1 Mn 0.000 0.000 0.000
2 Al 0.500 0.500 0.500
3 Sb 0.000 0.500 0.500
4 Sb 0.500 0.000 0.500
5 Te 0.500 0.500 0.000

No. 4
## MnAlSb2Te (PBE)

Data for an optimized crystal structure of MnAlSb2Te.

## Properties
spin magnetization = 0.533 μB per atom
uncorrected energy = -4.407 eV/atom
crystal system = tetragonal

a = 5.028 Å, b = 5.028 Å, c = 5.425 Å
α = 90.00°, β = 90.00°, γ = 90.00°
Element x y z (fractional)
1 Mn 0.000 0.000 0.000
2 Al 0.500 0.500 0.500
3 Sb 0.000 0.500 0.000
4 Sb 0.500 0.000 0.000
5 Te 0.000 0.000 0.500

No. 5
## ScMn2Al2 (PBE)

Data for an optimized crystal structure of ScMn2Al2.

## Properties
formation energy = -1.04 eV/f.u.
spin magnetization = 0.782 μB per atom
crystal system = tetragonal

a = 7.276 Å, b = 7.276 Å, c = 2.882 Å
α = 90.00°, β = 90.00°, γ = 90.00°
Element x y z (fractional)
1 Sc 0.000 0.000 0.000
2 Sc 0.500 0.500 0.000
3 Mn 0.171 0.329 0.500
4 Mn 0.329 0.829 0.500
5 Mn 0.671 0.171 0.500
6 Mn 0.829 0.671 0.500
7 Al 0.126 0.626 0.000
8 Al 0.374 0.126 0.000
9 Al 0.626 0.874 0.000
10 Al 0.874 0.374 0.000

No. 6
## Sc3MnAl (PBE)

Data for an optimized crystal structure of Sc3MnAl.

## Properties
formation energy = 5.48 eV/f.u.
spin magnetization = 0.198 μB per atom
crystal system = cubic

a = 5.048 Å, b = 5.048 Å, c = 5.048 Å
α = 90.00°, β = 90.00°, γ = 90.00°
Element x y z (fractional)
1 Sc 0.000 0.000 0.500
2 Sc 0.000 0.500 0.000
3 Sc 0.500 0.000 0.000
4 Mn 0.500 0.500 0.500
5 Al 0.000 0.000 0.000

No. 7
## ScMnAl (PBE)

Data for an optimized crystal structure of ScMnAl.

## Properties
formation energy = -0.48 eV/f.u.
spin magnetization = 1.059 μB per atom
crystal system = hexagonal

a = 4.462 Å, b = 4.462 Å, c = 3.124 Å
α = 90.00°, β = 90.00°, γ = 120.00°
Element x y z (fractional)
1 Sc 0.000 0.000 0.000
2 Mn 0.333 0.667 0.500
3 Al 0.667 0.333 0.500

No. 8
## ScMnAl2 (PBE)

Data for an optimized crystal structure of ScMnAl2.

## Properties
formation energy = -0.66 eV/f.u.
spin magnetization = 0.645 μB per atom
crystal system = monoclinic

a = 5.199 Å, b = 5.199 Å, c = 4.666 Å
α = 110.63°, β = 110.63°, γ = 34.83°
Element x y z (fractional)
1 Sc 0.000 0.000 0.000
2 Mn 0.248 0.248 0.818
3 Al 0.519 0.519 0.509
4 Al 0.770 0.770 0.337

No. 9
## ScMnAl (PBE)

Data for an optimized crystal structure of ScMnAl.

## Properties
formation energy = 1.93 eV/f.u.
spin magnetization = 1.211 μB per atom
crystal system = cubic

a = 4.552 Å, b = 4.552 Å, c = 4.552 Å
α = 60.00°, β = 60.00°, γ = 60.00°
Element x y z (fractional)
1 Sc 0.000 0.000 0.000
2 Mn 0.250 0.250 0.250
3 Al 0.750 0.750 0.750

No. 10
## ScMn2Al10 (PBE)

Data for an optimized crystal structure of ScMn2Al10.

## Properties
formation energy = -3.54 eV/f.u.
spin magnetization = 0.133 μB per atom
crystal system = orthorhombic

a = 6.766 Å, b = 6.766 Å, c = 8.931 Å
α = 90.00°, β = 90.00°, γ = 97.26°
Element x y z (fractional)
1 Sc 0.133 0.867 0.750
2 Sc 0.867 0.133 0.250
3 Mn 0.000 0.500 0.000
4 Mn 0.000 0.500 0.500
5 Mn 0.500 0.000 0.000
6 Mn 0.500 0.000 0.500
7 Al 0.138 0.418 0.750
8 Al 0.148 0.852 0.095
9 Al 0.148 0.852 0.405
10 Al 0.213 0.474 0.250
11 Al 0.229 0.229 0.000
12 Al 0.229 0.229 0.500
13 Al 0.371 0.629 0.540
14 Al 0.371 0.629 0.960
15 Al 0.418 0.138 0.250
16 Al 0.474 0.213 0.750
17 Al 0.526 0.787 0.250
18 Al 0.582 0.862 0.750
19 Al 0.629 0.371 0.040
20 Al 0.629 0.371 0.460
21 Al 0.771 0.771 0.000
22 Al 0.771 0.771 0.500
23 Al 0.787 0.526 0.750
24 Al 0.852 0.148 0.595
25 Al 0.852 0.148 0.905
26 Al 0.862 0.582 0.250

No. 11
## ScMn2Al2 (PBE)

Data for an optimized crystal structure of ScMn2Al2.

## Properties
formation energy = -0.94 eV/f.u.
spin magnetization = 0.897 μB per atom
crystal system = tetragonal

a = 7.411 Å, b = 7.411 Å, c = 2.769 Å
α = 90.00°, β = 90.00°, γ = 90.00°
Element x y z (fractional)
1 Sc 0.000 0.000 0.000
2 Sc 0.500 0.500 0.000
3 Mn 0.122 0.378 0.000
4 Mn 0.378 0.878 0.000
5 Mn 0.622 0.122 0.000
6 Mn 0.878 0.622 0.000
7 Al 0.171 0.671 0.500
8 Al 0.329 0.171 0.500
9 Al 0.671 0.829 0.500
10 Al 0.829 0.329 0.500

No. 12
## ScMnAl (PBE)

Data for an optimized crystal structure of ScMnAl.

## Properties
formation energy = -0.64 eV/f.u.
spin magnetization = 0.785 μB per atom
crystal system = tetragonal

a = 5.735 Å, b = 5.735 Å, c = 5.735 Å
α = 148.76°, β = 148.76°, γ = 44.76°
Element x y z (fractional)
1 Sc 0.000 0.000 0.000
2 Mn 0.333 0.333 0.000
3 Al 0.699 0.699 0.000

No. 13
## ScMnAl2 (PBE)

Data for an optimized crystal structure of ScMnAl2.

## Properties
formation energy = -0.68 eV/f.u.
spin magnetization = 0.723 μB per atom
crystal system = orthorhombic

a = 4.963 Å, b = 4.963 Å, c = 2.940 Å
α = 90.00°, β = 90.00°, γ = 110.91°
Element x y z (fractional)
1 Sc 0.000 0.000 0.000
2 Mn 0.500 0.500 0.000
3 Al 0.000 0.500 0.500
4 Al 0.500 0.000 0.500

No. 14
## ScMnAl2 (PBE)

Data for an optimized crystal structure of ScMnAl2.

## Properties
formation energy = -0.98 eV/f.u.
spin magnetization = 0.402 μB per atom
crystal system = tetragonal

a = 4.707 Å, b = 4.707 Å, c = 4.707 Å
α = 127.74°, β = 127.74°, γ = 77.05°
Element x y z (fractional)
1 Sc 0.000 0.000 0.000
2 Mn 0.500 0.500 0.000
3 Al 0.250 0.750 0.500
4 Al 0.750 0.250 0.500

No. 15
## ScMnAl2 (PBE)

Data for an optimized crystal structure of ScMnAl2.

## Properties
formation energy = -0.18 eV/f.u.
spin magnetization = 0.698 μB per atom
crystal system = trigonal

a = 9.170 Å, b = 9.170 Å, c = 9.170 Å
α = 18.60°, β = 18.60°, γ = 18.60°
Element x y z (fractional)
1 Sc 0.000 0.000 0.000
2 Mn 0.500 0.500 0.500
3 Al 0.241 0.241 0.241
4 Al 0.759 0.759 0.759

No. 16
## ScMnAl2 (PBE)

Data for an optimized crystal structure of ScMnAl2.

## Properties
formation energy = 0.99 eV/f.u.
spin magnetization = 0.593 μB per atom
crystal system = tetragonal

a = 10.096 Å, b = 10.096 Å, c = 10.096 Å
α = 157.67°, β = 157.67°, γ = 31.78°
Element x y z (fractional)
1 Sc 0.000 0.000 0.000
2 Sc 0.750 0.250 0.500
3 Mn 0.250 0.750 0.500
4 Mn 0.500 0.500 0.000
5 Al 0.144 0.625 0.019
6 Al 0.375 0.394 0.519
7 Al 0.606 0.125 0.981
8 Al 0.875 0.856 0.481

No. 17
## ScMnAl2 (PBE)

Data for an optimized crystal structure of ScMnAl2.

## Properties
formation energy = -0.74 eV/f.u.
spin magnetization = 0.000 μB per atom
crystal system = monoclinic

a = 4.845 Å, b = 4.845 Å, c = 4.530 Å
α = 110.65°, β = 110.65°, γ = 40.05°
Element x y z (fractional)
1 Sc 0.000 0.000 0.000
2 Mn 0.500 0.500 0.500
3 Al 0.227 0.227 0.706
4 Al 0.773 0.773 0.294

No. 18
## ScMn3Al (PBE)

Data for an optimized crystal structure of ScMn3Al.

## Properties
formation energy = 6.49 eV/f.u.
spin magnetization = 1.774 μB per atom
crystal system = cubic

a = 4.575 Å, b = 4.575 Å, c = 4.575 Å
α = 90.00°, β = 90.00°, γ = 90.00°
Element x y z (fractional)
1 Sc 0.000 0.000 0.000
2 Mn 0.000 0.000 0.500
3 Mn 0.000 0.500 0.000
4 Mn 0.500 0.000 0.000
5 Al 0.500 0.500 0.500

No. 19
## ScMnAl2 (PBE)

Data for an optimized crystal structure of ScMnAl2.

## Properties
formation energy = -0.68 eV/f.u.
spin magnetization = 0.415 μB per atom
crystal system = tetragonal

a = 3.095 Å, b = 3.095 Å, c = 6.785 Å
α = 90.00°, β = 90.00°, γ = 90.00°
Element x y z (fractional)
1 Sc 0.000 0.000 0.000
2 Mn 0.500 0.500 0.741
3 Al 0.000 0.000 0.556
4 Al 0.500 0.500 0.307

No. 20
## ScMnAl4 (PBE)

Data for an optimized crystal structure of ScMnAl4.

## Properties
formation energy = -0.52 eV/f.u.
spin magnetization = 0.000 μB per atom
crystal system = tetragonal

a = 7.329 Å, b = 7.329 Å, c = 7.329 Å
α = 130.67°, β = 130.67°, γ = 72.34°
Element x y z (fractional)
1 Sc 0.000 0.000 0.000
2 Sc 0.500 0.500 0.000
3 Mn 0.250 0.250 0.000
4 Mn 0.750 0.750 0.000
5 Al 0.060 0.560 0.911
6 Al 0.148 0.060 0.500
7 Al 0.352 0.852 0.911
8 Al 0.440 0.352 0.500
9 Al 0.560 0.648 0.500
10 Al 0.648 0.148 0.089
11 Al 0.852 0.940 0.500
12 Al 0.940 0.440 0.089

No. 21
## ScMn2Al2 (PBE)

Data for an optimized crystal structure of ScMn2Al2.

## Properties
formation energy = -0.27 eV/f.u.
spin magnetization = 0.581 μB per atom
crystal system = tetragonal

a = 5.813 Å, b = 5.813 Å, c = 5.813 Å
α = 139.98°, β = 139.98°, γ = 57.89°
Element x y z (fractional)
1 Sc 0.000 0.000 0.000
2 Mn 0.402 0.402 0.000
3 Mn 0.598 0.598 0.000
4 Al 0.250 0.750 0.500
5 Al 0.750 0.250 0.500

No. 22
## ScMnAl (PBE)

Data for an optimized crystal structure of ScMnAl.

## Properties
formation energy = 0.14 eV/f.u.
spin magnetization = 0.881 μB per atom
crystal system = trigonal

a = 3.008 Å, b = 3.008 Å, c = 6.717 Å
α = 90.00°, β = 90.00°, γ = 120.00°
Element x y z (fractional)
1 Sc 0.000 0.000 0.000
2 Mn 0.667 0.333 0.674
3 Al 0.333 0.667 0.370

No. 23
## ScMnAl (PBE)

Data for an optimized crystal structure of ScMnAl.

## Properties
formation energy = -0.98 eV/f.u.
spin magnetization = 0.363 μB per atom
crystal system = orthorhombic

a = 8.471 Å, b = 5.150 Å, c = 5.150 Å
α = 61.96°, β = 90.00°, γ = 90.00°
Element x y z (fractional)
1 Sc 0.175 0.000 0.000
2 Sc 0.305 0.667 0.667
3 Sc 0.695 0.667 0.667
4 Sc 0.825 0.000 0.000
5 Mn 0.000 0.500 0.974
6 Mn 0.000 0.510 0.510
7 Mn 0.000 0.974 0.500
8 Mn 0.500 0.168 0.168
9 Al 0.237 0.327 0.327
10 Al 0.500 0.166 0.677
11 Al 0.500 0.677 0.166
12 Al 0.763 0.327 0.327

No. 24
## Sc2Mn2Al (PBE)

Data for an optimized crystal structure of Sc2Mn2Al.

## Properties
formation energy = -0.67 eV/f.u.
spin magnetization = 0.418 μB per atom
crystal system = tetragonal

a = 6.453 Å, b = 6.453 Å, c = 4.042 Å
α = 90.00°, β = 90.00°, γ = 90.00°
Element x y z (fractional)
1 Sc 0.178 0.322 0.000
2 Sc 0.322 0.822 0.000
3 Sc 0.678 0.178 0.000
4 Sc 0.822 0.678 0.000
5 Mn 0.117 0.617 0.500
6 Mn 0.383 0.117 0.500
7 Mn 0.617 0.883 0.500
8 Mn 0.883 0.383 0.500
9 Al 0.000 0.000 0.500
10 Al 0.500 0.500 0.500

No. 25
## ScMn4Al8 (PBE)

Data for an optimized crystal structure of ScMn4Al8.

## Properties
formation energy = -4.34 eV/f.u.
spin magnetization = 0.000 μB per atom
crystal system = tetragonal

a = 6.620 Å, b = 6.620 Å, c = 6.620 Å
α = 97.91°, β = 97.91°, γ = 136.44°
Element x y z (fractional)
1 Sc 0.000 0.000 0.000
2 Mn 0.000 0.000 0.500
3 Mn 0.000 0.500 0.000
4 Mn 0.500 0.000 0.000
5 Mn 0.500 0.500 0.500
6 Al 0.000 0.338 0.338
7 Al 0.000 0.662 0.662
8 Al 0.285 0.500 0.785
9 Al 0.338 0.000 0.338
10 Al 0.500 0.285 0.785
11 Al 0.500 0.715 0.215
12 Al 0.662 0.000 0.662
13 Al 0.715 0.500 0.215

No. 26
## ScMnAl2 (PBE)

Data for an optimized crystal structure of ScMnAl2.

## Properties
formation energy = 0.18 eV/f.u.
spin magnetization = 0.737 μB per atom
crystal system = trigonal

a = 9.213 Å, b = 9.213 Å, c = 9.213 Å
α = 18.54°, β = 18.54°, γ = 18.54°
Element x y z (fractional)
1 Sc 0.000 0.000 0.000
2 Mn 0.252 0.252 0.252
3 Al 0.510 0.510 0.510
4 Al 0.759 0.759 0.759